No. 1
Compound: Mn2Be2Ga
Source: Alexandria via LeMat-Bulk
Functional: PBE
Structure: relaxed

Output
Volume (A^3/atom): 10.3
Total energy (eV/atom): -5.85
Calculated formation energy (eV per formula unit): -0.4
Energy relative to the lowest polymorph listed for this composition (meV/atom): 0
Crystal system: tetragonal

Cell lengths 5.839, 5.839, 3.014 Å; angles 90.00, 90.00, 90.00 degrees
Positions (direct):
1 Mn 0.172 0.328 0.000
2 Mn 0.328 0.828 0.000
3 Mn 0.672 0.172 0.000
4 Mn 0.828 0.672 0.000
5 Be 0.121 0.621 0.500
6 Be 0.379 0.121 0.500
7 Be 0.621 0.879 0.500
8 Be 0.879 0.379 0.500
9 Ga 0.000 0.000 0.500
10 Ga 0.500 0.500 0.500


No. 2
Compound: Er7Co2Ag2
Source: Alexandria via LeMat-Bulk
Functional: PBE
Structure: relaxed

Output
Volume (A^3/atom): 24.4
Total energy (eV/atom): -4.92
Calculated formation energy (eV per formula unit): -2.2
Energy relative to the lowest polymorph listed for this composition (meV/atom): 0
Crystal system: orthorhombic

Cell lengths 9.342, 9.342, 9.342 Å; angles 157.72, 65.75, 119.03 degrees
Positions (direct):
1 Er 0.000 0.000 0.000
2 Er 0.068 0.381 0.687
3 Er 0.083 0.731 0.353
4 Er 0.378 0.731 0.647
5 Er 0.446 0.574 0.872
6 Er 0.695 0.381 0.313
7 Er 0.702 0.574 0.128
8 Co 0.329 0.085 0.244
9 Co 0.841 0.085 0.756
10 Ag 0.329 0.329 0.000
11 Ag 0.741 0.241 0.500


No. 3
Compound: AcScHg2
Source: Alexandria via LeMat-Bulk
Functional: PBE
Structure: relaxed

Output
Volume (A^3/atom): 27.0
Total energy (eV/atom): -3.16
Calculated formation energy (eV per formula unit): -1.6
Energy relative to the lowest polymorph listed for this composition (meV/atom): 0
Crystal system: tetragonal

Cell lengths 3.705, 3.705, 7.863 Å; angles 90.00, 90.00, 90.00 degrees
Positions (direct):
1 Ac 0.000 0.000 0.000
2 Sc 0.000 0.000 0.500
3 Hg 0.500 0.500 0.296
4 Hg 0.500 0.500 0.704


No. 4
Compound: Ba6NaAgRh
Source: Alexandria via LeMat-Bulk
Functional: PBE
Structure: relaxed

Output
Volume (A^3/atom): 53.6
Total energy (eV/atom): -2.66
Calculated formation energy (eV per formula unit): -0.9
Crystal system: trigonal

Cell lengths 8.374, 8.374, 7.948 Å; angles 90.00, 90.00, 120.00 degrees
Positions (direct):
1 Ba 0.043 0.356 0.226
2 Ba 0.043 0.687 0.774
3 Ba 0.313 0.356 0.774
4 Ba 0.313 0.957 0.226
5 Ba 0.644 0.687 0.226
6 Ba 0.644 0.957 0.774
7 Na 0.667 0.333 0.500
8 Ag 0.000 0.000 0.000
9 Rh 0.333 0.667 0.000


No. 5
Compound: LaPr2Al
Source: Alexandria via LeMat-Bulk
Functional: PBE
Structure: relaxed

Output
Volume (A^3/atom): 31.5
Total energy (eV/atom): -4.71
Calculated formation energy (eV per formula unit): -0.6
Energy relative to the lowest polymorph listed for this composition (meV/atom): 32
Crystal system: tetragonal

Cell lengths 3.659, 3.659, 9.417 Å; angles 90.00, 90.00, 90.00 degrees
Positions (direct):
1 La 0.000 0.000 0.000
2 Pr 0.500 0.500 0.290
3 Pr 0.500 0.500 0.710
4 Al 0.000 0.000 0.500


No. 6
Compound: Ta2CuSi
Source: Alexandria via LeMat-Bulk
Functional: PBE
Structure: relaxed

Output
Volume (A^3/atom): 15.3
Total energy (eV/atom): -8.45
Energy relative to the elements, uncorrected (kJ/mol of atoms): -13.48
Crystal system: orthorhombic

Cell lengths 4.765, 4.765, 4.765 Å; angles 131.24, 129.63, 72.72 degrees
Positions (direct):
1 Ta 0.247 0.247 0.000
2 Ta 0.753 0.753 0.000
3 Cu 0.500 0.000 0.500
4 Si 0.000 0.500 0.500


> Number 4 is which compound?

Ba6NaAgRh


Please write out number 4 again, unchanged.
Compound: Ba6NaAgRh
Source: Alexandria via LeMat-Bulk
Functional: PBE
Structure: relaxed

Output
Volume (A^3/atom): 53.6
Total energy (eV/atom): -2.66
Calculated formation energy (eV per formula unit): -0.9
Crystal system: trigonal

Cell lengths 8.374, 8.374, 7.948 Å; angles 90.00, 90.00, 120.00 degrees
Positions (direct):
1 Ba 0.043 0.356 0.226
2 Ba 0.043 0.687 0.774
3 Ba 0.313 0.356 0.774
4 Ba 0.313 0.957 0.226
5 Ba 0.644 0.687 0.226
6 Ba 0.644 0.957 0.774
7 Na 0.667 0.333 0.500
8 Ag 0.000 0.000 0.000
9 Rh 0.333 0.667 0.000


Repeat the sixth record exactly.
Compound: Ta2CuSi
Source: Alexandria via LeMat-Bulk
Functional: PBE
Structure: relaxed

Output
Volume (A^3/atom): 15.3
Total energy (eV/atom): -8.45
Energy relative to the elements, uncorrected (kJ/mol of atoms): -13.48
Crystal system: orthorhombic

Cell lengths 4.765, 4.765, 4.765 Å; angles 131.24, 129.63, 72.72 degrees
Positions (direct):
1 Ta 0.247 0.247 0.000
2 Ta 0.753 0.753 0.000
3 Cu 0.500 0.000 0.500
4 Si 0.000 0.500 0.500


> Which of these has the highest total energy?

Ba6NaAgRh